Entry 1:
Entry from Alexandria: crystalline In2CuHg at its relaxed geometry (GGA-PBE).

Geometry as POSCAR:
```
In2CuHg
1.0
3.5087 0.0000 0.0000
0.0872 4.8304 0.0000
0.0415 1.9121 5.2503
In Cu Hg
2 1 1
Cartesian
0.0000 0.0000 0.0000
0.0644 3.3712 2.6251
1.7751 0.9561 2.6251
1.7980 2.4152 0.0000
```

Results
space group	No. 2
formation energy	0.19	eV per atom

Entry 2:
Entry from Alexandria: crystalline In4CuHg2 at its relaxed geometry (GGA-PBE).

Geometry as POSCAR:
```
In4CuHg2
1.0
-2.5188 2.5188 7.8713
2.5188 -2.5188 7.8713
2.5188 2.5188 -7.8713
In Cu Hg
4 1 2
Cartesian
2.5188 0.0000 0.0000
0.0000 0.0000 2.7064
0.0000 2.5188 0.0000
0.0000 0.0000 13.0362
0.0000 0.0000 0.0000
0.0000 0.0000 5.6706
0.0000 0.0000 10.0720
```

Results
space group	No. 139
formation energy	0.12	eV per atom

Entry 3:
Entry from Alexandria: crystalline In2Cu2Hg at its relaxed geometry (GGA-PBE).

Geometry as POSCAR:
```
In2Cu2Hg
1.0
8.3281 0.0000 0.0000
0.0000 8.3281 0.0000
0.0000 0.0000 2.8716
In Cu Hg
4 4 2
Cartesian
1.2271 2.9369 0.0000
2.9369 7.1010 0.0000
5.3912 1.2271 0.0000
7.1010 5.3912 0.0000
1.2477 5.4118 1.4358
2.9164 1.2477 1.4358
5.4118 7.0804 1.4358
7.0804 2.9164 1.4358
0.0000 0.0000 0.0000
4.1641 4.1641 0.0000
```

Results
space group	No. 127
offset from the most stable computed form	0.371	eV/f.u.
formation energy	0.17	eV per atom

Entry 4:
Entry from Alexandria: crystalline In4CuHg at its relaxed geometry (GGA-PBE).

Geometry as POSCAR:
```
In4CuHg
1.0
0.0000 4.3381 4.3381
4.3381 0.0000 4.3381
4.3381 4.3381 0.0000
In Cu Hg
4 1 1
Cartesian
1.0817 1.0817 1.0817
3.2564 3.2564 1.0817
3.2564 1.0817 3.2564
1.0817 3.2564 3.2564
6.5072 6.5072 6.5072
4.3381 4.3381 4.3381
```

Results
space group	No. 216
offset from the most stable computed form	2.106	eV/f.u.
formation energy	0.37	eV per atom

Entry 5:
Entry from Alexandria: crystalline InCu2Hg at its relaxed geometry (GGA-PBE).

Geometry as POSCAR:
```
InCu2Hg
1.0
3.3960 0.0000 0.0000
0.0000 3.4414 0.0000
0.0000 0.0000 5.9210
In Cu Hg
1 2 1
Cartesian
0.0000 0.0000 0.0000
1.6980 1.7207 1.4771
1.6980 1.7207 4.4439
0.0000 0.0000 2.9605
```

Results
space group	No. 47
offset from the most stable computed form	0.118	eV/f.u.
formation energy	0.16	eV per atom

Entry 6:
Entry from Alexandria: crystalline InCu2Hg at its relaxed geometry (GGA-PBE).

Geometry as POSCAR:
```
InCu2Hg
1.0
1.6048 0.9265 8.2520
-1.6048 0.9265 8.2520
0.0000 -1.8531 8.2520
In Cu Hg
1 2 1
Cartesian
0.0000 0.0000 0.0000
0.0000 0.0000 6.2124
0.0000 0.0000 18.5435
0.0000 0.0000 12.3780
```

Results
space group	No. 166
offset from the most stable computed form	0.380	eV/f.u.
formation energy	0.23	eV per atom

Entry 7:
Entry from Alexandria: crystalline In2CuHg at its relaxed geometry (GGA-PBE).

Geometry as POSCAR:
```
In2CuHg
1.0
3.2694 0.0000 0.0000
0.0000 3.2694 0.0000
0.0000 0.0000 8.3534
In Cu Hg
2 1 1
Cartesian
0.0000 0.0000 1.7056
0.0000 0.0000 6.6478
1.6347 1.6347 0.0000
1.6347 1.6347 4.1767
```

Results
space group	No. 123
formation energy	0.09	eV per atom

Entry 8:
Entry from Alexandria: crystalline In6CuHg2 at its relaxed geometry (GGA-PBE).

Geometry as POSCAR:
```
In6CuHg2
1.0
6.9169 0.0000 0.0000
0.0000 6.9644 0.0000
-0.6572 0.0000 9.6995
In Cu Hg
12 2 4
Cartesian
-0.1247 0.0056 2.6631
-0.4532 3.4766 7.5128
1.9083 5.1181 0.0610
1.5797 5.3285 4.9108
1.5845 1.6441 4.9127
1.9131 1.8381 0.0630
4.3466 5.1263 9.6366
4.6752 5.3204 4.7868
4.6800 1.6359 4.7887
4.3514 1.8463 9.6385
6.7130 3.4878 2.1867
6.3844 6.9588 7.0364
0.0000 0.0000 0.0000
-0.3286 3.4822 4.8498
2.9003 0.0084 7.3809
3.2289 3.4738 2.5311
3.0309 3.4906 7.1684
3.3595 6.9561 2.3186
```

Results
space group	No. 14
formation energy	0.05	eV per atom

Entry 9:
Entry from Alexandria: crystalline In2CuHg at its relaxed geometry (GGA-PBE).

Geometry as POSCAR:
```
In2CuHg
1.0
4.2935 -1.7233 0.0000
4.2935 1.7233 0.0000
-1.4987 0.0000 6.1610
In Cu Hg
2 1 1
Cartesian
1.7122 0.0000 1.3134
5.3761 0.0000 4.8476
4.2935 0.0000 0.0000
-0.7493 0.0000 3.0805
```

Results
space group	No. 12
formation energy	0.11	eV per atom

Entry 10:
Entry from Alexandria: crystalline In2CuHg at its relaxed geometry (GGA-PBE).

Geometry as POSCAR:
```
In2CuHg
1.0
3.2001 0.0000 0.0000
0.0000 3.3868 0.0000
0.0000 0.0000 8.2489
In Cu Hg
2 1 1
Cartesian
0.0000 0.0000 0.0000
1.6001 1.6934 2.5360
0.0000 0.0000 4.1515
1.6001 1.6934 5.8230
```

Results
space group	No. 25
formation energy	0.11	eV per atom

Entry 11:
Entry from Alexandria: crystalline In2CuHg at its relaxed geometry (GGA-PBE).

Geometry as POSCAR:
```
In2CuHg
1.0
-2.1921 2.1921 4.5680
2.1921 -2.1921 4.5680
2.1921 2.1921 -4.5680
In Cu Hg
2 1 1
Cartesian
0.0000 0.0000 0.0000
0.0000 2.1921 2.2840
2.1921 0.0000 2.2840
0.0000 0.0000 4.5680
```

Results
space group	No. 119
formation energy	0.18	eV per atom

Entry 12:
Entry from Alexandria: crystalline In2CuHg at its relaxed geometry (GGA-PBE).

Geometry as POSCAR:
```
In2CuHg
1.0
-1.5728 2.2302 6.5024
1.5728 -2.2302 6.5024
1.5728 2.2302 -6.5024
In Cu Hg
2 1 1
Cartesian
0.0000 0.0000 0.0000
0.0000 2.2302 2.5863
1.5728 0.0000 2.3952
0.0000 0.0000 4.9031
```

Results
space group	No. 44
formation energy	0.08	eV per atom

Question: Which formula does entry 9 have?
Answer: In2CuHg